A geometry-optimized PtPb3 structure, computed with PBE.

## Properties
- formation energy (meV per atom) = 146
- calculated volume (Å³/f.u.) = 105.3
- polymorph energy (0 for the lowest one) (meV/atom) = 287
- space-group type = No. 223

abc: 5.949 5.949 5.949
angles: 90.00 90.00 90.00
Fractional positions:
Pb  0.250  0.500  0.000
Pt  0.500  0.500  0.500
Pb  0.000  0.250  0.500
Pb  0.000  0.750  0.500
Pt  0.000  0.000  0.000
Pb  0.500  0.000  0.750
Pb  0.750  0.500  0.000
Pb  0.500  0.000  0.250